(1)
DFT (PBE-GGA) results for a relaxed structure of Ho5Th4Sc4.

```
data_Ho5Th4Sc4
_cell_length_a 12.4359
_cell_length_b 12.4359
_cell_length_c 4.9489
_cell_angle_alpha 90.00
_cell_angle_beta 90.00
_cell_angle_gamma 90.00
_symmetry_space_group_name_H-M 'I 4/m'
_symmetry_Int_Tables_number 87
_symmetry_space_group_name_Hall '-I 4'
loop_
_atom_site_label
_atom_site_type_symbol
_atom_site_fract_x
_atom_site_fract_y
_atom_site_fract_z
Ho1 Ho 0.0000 0.0000 0.0000
Ho2 Ho 0.0411 0.1930 0.5000
Th1 Th 0.0764 0.3817 0.0000
Sc1 Sc 0.1545 0.7664 0.0000
```

Properties
Crystal system: tetragonal
Final energy (eV/atom): -5.95
Calculated volume (Å³ per atom): 29.44



(2)
DFT (PBE-GGA) results for a relaxed structure of CsCuH2.

```
data_CsCuH2
_cell_length_a 5.7261
_cell_length_b 3.7554
_cell_length_c 14.1299
_cell_angle_alpha 90.00
_cell_angle_beta 90.00
_cell_angle_gamma 90.00
_symmetry_space_group_name_H-M 'P n m a'
_symmetry_Int_Tables_number 62
loop_
_symmetry_equiv_pos_as_xyz
'x,y,z'
'-x,-y,-z'
'-x+1/2,-y,z+1/2'
'x+1/2,y,-z+1/2'
'x+1/2,-y+1/2,-z+1/2'
'-x+1/2,y+1/2,z+1/2'
'-x,y+1/2,-z'
'x,-y+1/2,z'
loop_
_atom_site_label
_atom_site_type_symbol
_atom_site_fract_x
_atom_site_fract_y
_atom_site_fract_z
Cs1 Cs 0.0716 0.2500 0.1537
Cu1 Cu 0.0451 0.7500 0.4419
H1 H 0.1160 0.7500 0.3326
H2 H 0.1645 0.2500 0.4805
```

Properties
ΔE to the lowest computed polymorph (meV/atom): 26
Crystal system: orthorhombic
Calculated volume (Å³ per atom): 18.99



(3)
DFT (PBE-GGA) results for a relaxed structure of LaHo2I.

```
data_LaHo2I
_cell_length_a 3.7551
_cell_length_b 3.7551
_cell_length_c 31.8070
_cell_angle_alpha 90.00
_cell_angle_beta 90.00
_cell_angle_gamma 120.00
_symmetry_space_group_name_H-M 'R -3 m'
_symmetry_Int_Tables_number 166
_symmetry_space_group_name_Hall '-R 3 2"'
loop_
_atom_site_label
_atom_site_type_symbol
_atom_site_fract_x
_atom_site_fract_y
_atom_site_fract_z
La1 La 0.0000 0.0000 0.0000
Ho1 Ho 0.0000 0.0000 0.2441
I1 I 0.0000 0.0000 0.5000
```

Properties
Crystal system: trigonal
Final energy (eV/atom): -4.26
Calculated volume (Å³ per atom): 32.37



Number 1: mass density 8.4 g/cm³. Number 2: mass density 4.3 g/cm³. Number 3: mass density 7.6 g/cm³.